First-principles (PBE) data for a relaxed structure of Dy2MgBi, as listed in Alexandria via LeMat-Bulk.

Computed properties:
The calculation puts the formation enthalpy at 0 K at 0.02 eV/atom. For the calculated volume, the calculation gives 368.9 Å³/cell. For the total magnetic moment, the calculation gives 0.000 μB/atom. The total energy is -3.652 eV/atom.

CIF file:
```
data_Dy2MgBi
_cell_length_a 3.5100
_cell_length_b 3.5100
_cell_length_c 34.5709
_cell_angle_alpha 90.00
_cell_angle_beta 90.00
_cell_angle_gamma 120.00
_symmetry_space_group_name_H-M 'R -3 m'
_symmetry_Int_Tables_number 166
_symmetry_space_group_name_Hall '-R 3 2"'
loop_
_atom_site_label
_atom_site_type_symbol
_atom_site_fract_x
_atom_site_fract_y
_atom_site_fract_z
Dy1 Dy 0.0000 0.0000 0.0914
Mg1 Mg 0.0000 0.0000 0.5000
Bi1 Bi 0.0000 0.0000 0.0000
```

***

First-principles (PBE) data for a relaxed structure of Dy4MgBi2, as listed in Alexandria via LeMat-Bulk.

Computed properties:
The calculation puts the formation enthalpy at 0 K at -0.31 eV/atom. For the calculated volume, the calculation gives 427.6 Å³/cell. For the total magnetic moment, the calculation gives 0.001 μB/atom. The total energy is -4.279 eV/atom.

CIF file:
```
data_Dy4MgBi2
_cell_length_a 6.421
_cell_length_b 6.644
_cell_length_c 10.039
_cell_angle_alpha 90.00
_cell_angle_beta 93.25
_cell_angle_gamma 90.00
_symmetry_space_group_name_H-M 'P 1 21/m 1'
_symmetry_Int_Tables_number 11
loop_
_symmetry_equiv_pos_as_xyz
'x,y,z'
'-x,-y,-z'
'-x,y+1/2,-z'
'x,-y+1/2,z'
loop_
_atom_site_label
_atom_site_type_symbol
_atom_site_fract_x
_atom_site_fract_y
_atom_site_fract_z
Dy1 Dy 0.036 0.250 0.237
Dy2 Dy 0.158 0.750 0.430
Dy3 Dy 0.444 0.509 0.754
Mg1 Mg 0.180 0.750 0.084
Bi1 Bi 0.289 0.250 0.993
Bi2 Bi 0.326 0.250 0.488
```

***

First-principles (PBE) data for a relaxed structure of Dy2MgBi, as listed in Alexandria via LeMat-Bulk.

Computed properties:
The calculation puts the formation enthalpy at 0 K at -0.29 eV/atom. For the calculated volume, the calculation gives 450.6 Å³/cell. For the total magnetic moment, the calculation gives 0.000 μB/atom. The total energy is -3.963 eV/atom.

CIF file:
```
data_Dy2MgBi
_cell_length_a 7.667
_cell_length_b 7.667
_cell_length_c 7.667
_cell_angle_alpha 90.00
_cell_angle_beta 90.00
_cell_angle_gamma 90.00
_symmetry_space_group_name_H-M 'F m -3 m'
_symmetry_Int_Tables_number 225
_symmetry_space_group_name_Hall '-F 4 2 3'
loop_
_atom_site_label
_atom_site_type_symbol
_atom_site_fract_x
_atom_site_fract_y
_atom_site_fract_z
Dy1 Dy 0.250 0.250 0.250
Mg1 Mg 0.000 0.000 0.000
Bi1 Bi 0.000 0.000 0.500
```